The following is a DFT calculation (PBE+U) of crystalline Ba2MnP2F at its relaxed geometry.

## Properties
- Mass density: 3.282 g/cm3
- Volume: 34.6 Å³/atom
- Energy: -25.099 eV per formula unit

Cell: 3.628 3.628 15.783 Å, 90.00 90.00 90.00°
Last column: magnetic moment on the atom in μB.
Fractional coordinates of all 6 atoms:
F1 0.500 0.500 0.000  0.00
P1 0.500 0.500 0.650  -0.07
P2 0.500 0.500 0.350  -0.07
Ba1 0.500 0.500 0.844  0.00
Mn1 0.500 0.500 0.500  4.49
Ba2 0.500 0.500 0.156  0.00